1.
The following is a PBE calculation of a relaxed structure of Mo2PtW, from Alexandria via LeMat-Bulk.

Results
The calculation puts the total magnetization at 0.000 μB per atom. For the density of states at the Fermi level, the calculation gives 3.95 states/eV/f.u. As for the energy relative to the elements: 0.15 eV per atom.

a b c (Å): 9.752 9.752 9.752
angles (deg): 16.33 16.33 16.33
Atoms (fractional coordinates):
Mo (0.000, 0.000, 0.000)
Mo (0.248, 0.248, 0.248)
Pt (0.500, 0.500, 0.500)
W (0.752, 0.752, 0.752)

2.
The following is a PBE calculation of a relaxed structure of MoPtW2, from Alexandria via LeMat-Bulk.

Results
The calculation puts the polymorph energy (0 for the lowest one) at 0.030 eV/atom. The calculation puts the total magnetization at 0.000 μB per atom. For the density of states at the Fermi level, the calculation gives 2.73 states/eV/f.u. As for the energy relative to the elements: -0.02 eV per atom.

a b c (Å): 2.730 2.730 8.843
angles (deg): 90.00 90.00 105.09
Atoms (fractional coordinates):
Mo (0.500, 0.500, 0.250)
Pt (0.500, 0.500, 0.750)
W (0.000, 0.000, 0.997)
W (0.000, 0.000, 0.503)